Version i
# Na2YRh

A relaxed structure of Na2YRh (PBE, Alexandria via LeMat-Bulk).

Calculated values
Space-group type: I-42d (122)

Lattice parameters (Å, degrees): 4.0080 4.0080 12.3475 80.66 80.66 90.00
Atoms (fractional coordinates):
1 Y 0.5000 0.5000 0.0000
2 Y 0.2500 0.7500 0.5000
3 Na 0.8750 0.9005 0.7500
4 Na 0.6505 0.1250 0.2500
5 Na 0.3750 0.3495 0.7500
6 Na 0.0995 0.6250 0.2500
7 Rh 0.7500 0.2500 0.5000
8 Rh 0.0000 0.0000 0.0000



Version ii
# Na2YRh

A relaxed structure of Na2YRh (PBE, Alexandria via LeMat-Bulk).

Calculated values
Space-group type: Fm-3m (225)

Lattice parameters (Å, degrees): 4.9885 4.9885 4.9885 60.00 60.00 60.00
Atoms (fractional coordinates):
1 Na 0.2500 0.2500 0.2500
2 Na 0.7500 0.7500 0.7500
3 Rh 0.5000 0.5000 0.5000
4 Y 0.0000 0.0000 0.0000



version i comes first in stability; the runner-up is 342 meV per atom higher.



Version i
# NaY3Rh

A relaxed structure of NaY3Rh (PBE, Alexandria via LeMat-Bulk).

Calculated values
Space-group type: Pm-3m (221)

Lattice parameters (Å, degrees): 5.3097 5.3097 5.3097 90.00 90.00 90.00
Atoms (fractional coordinates):
1 Y 0.0000 0.5000 0.0000
2 Y 0.0000 0.0000 0.5000
3 Y 0.5000 0.0000 0.0000
4 Rh 0.5000 0.5000 0.5000
5 Na 0.0000 0.0000 0.0000



Version ii
# NaY3Rh

A relaxed structure of NaY3Rh (PBE, Alexandria via LeMat-Bulk).

Calculated values
Space-group type: Pm-3m (221)

Lattice parameters (Å, degrees): 5.4604 5.4604 5.4604 90.00 90.00 90.00
Atoms (fractional coordinates):
1 Y 0.5000 0.0000 0.0000
2 Y 0.0000 0.0000 0.5000
3 Y 0.0000 0.5000 0.0000
4 Rh 0.0000 0.0000 0.0000
5 Na 0.5000 0.5000 0.5000



version ii comes first in stability; the runner-up is 1381 meV per atom higher.



Version i
# NaZnRh3

A relaxed structure of NaZnRh3 (PBE, Alexandria via LeMat-Bulk).

Calculated values
Space-group type: Pm-3m (221)

Lattice parameters (Å, degrees): 4.6503 4.6503 4.6503 90.00 90.00 90.00
Each line ends with the local moment (μB).
Atoms (fractional coordinates):
1 Na 0.5000 0.5000 0.5000  -0.01
2 Rh 0.0000 0.5000 0.0000  0.84
3 Rh 0.0000 0.0000 0.5000  0.96
4 Rh 0.5000 0.0000 0.0000  0.51
5 Zn 0.0000 0.0000 0.0000  0.00



Version ii
# NaZnRh3

A relaxed structure of NaZnRh3 (PBE, Alexandria via LeMat-Bulk).

Calculated values
Space-group type: Pm-3m (221)

Lattice parameters (Å, degrees): 4.4863 4.4863 4.4863 90.00 90.00 90.00
Atoms (fractional coordinates):
1 Rh 0.5000 0.0000 0.0000
2 Rh 0.0000 0.0000 0.5000
3 Rh 0.0000 0.5000 0.0000
4 Na 0.0000 0.0000 0.0000
5 Zn 0.5000 0.5000 0.5000



version i comes first in stability; the runner-up is 694 meV per atom higher.



Version i
# Na2ZrRh

A relaxed structure of Na2ZrRh (PBE, Alexandria via LeMat-Bulk).

Calculated values
Space-group type: I-42d (122)

Lattice parameters (Å, degrees): 8.8173 8.8173 6.7181 48.99 48.99 90.00
Each line ends with the local moment (μB).
Atoms (fractional coordinates):
1 Rh 0.0000 0.0000 0.0000  0.01
2 Rh 0.7500 0.2500 0.5000  0.01
3 Na 0.6861 0.1250 0.2500  0.01
4 Na 0.0639 0.6250 0.2500  0.01
5 Na 0.8750 0.9361 0.7500  0.01
6 Na 0.3750 0.3139 0.7500  0.01
7 Zr 0.5000 0.5000 0.0000  0.26
8 Zr 0.2500 0.7500 0.5000  0.27



Version ii
# Na2ZrRh

A relaxed structure of Na2ZrRh (PBE, Alexandria via LeMat-Bulk).

Calculated values
Space-group type: Fm-3m (225)

Lattice parameters (Å, degrees): 4.8158 4.8158 4.8158 60.00 60.00 60.00
Atoms (fractional coordinates):
1 Na 0.2500 0.2500 0.2500
2 Na 0.7500 0.7500 0.7500
3 Zr 0.0000 0.0000 0.0000
4 Rh 0.5000 0.5000 0.5000



version i comes first in stability; the runner-up is 159 meV per atom higher.



Version i
# NaZr3Rh

A relaxed structure of NaZr3Rh (PBE, Alexandria via LeMat-Bulk).

Calculated values
Space-group type: Pm-3m (221)

Lattice parameters (Å, degrees): 4.8598 4.8598 4.8598 90.00 90.00 90.00
Atoms (fractional coordinates):
1 Zr 0.0000 0.5000 0.0000
2 Zr 0.0000 0.0000 0.5000
3 Zr 0.5000 0.0000 0.0000
4 Rh 0.5000 0.5000 0.5000
5 Na 0.0000 0.0000 0.0000



Version ii
# NaZr3Rh

A relaxed structure of NaZr3Rh (PBE, Alexandria via LeMat-Bulk).

Calculated values
Space-group type: Pm-3m (221)

Lattice parameters (Å, degrees): 5.1210 5.1210 5.1210 90.00 90.00 90.00
Atoms (fractional coordinates):
1 Zr 0.0000 0.5000 0.0000
2 Zr 0.5000 0.0000 0.0000
3 Zr 0.0000 0.0000 0.5000
4 Na 0.5000 0.5000 0.5000
5 Rh 0.0000 0.0000 0.0000



version ii comes first in stability; the runner-up is 1237 meV per atom higher.



Version i
# NaRu3S

A relaxed structure of NaRu3S (PBE, Alexandria via LeMat-Bulk).

Calculated values
Space-group type: Pm-3m (221)

Lattice parameters (Å, degrees): 4.4934 4.4934 4.4934 90.00 90.00 90.00
Each line ends with the local moment (μB).
Atoms (fractional coordinates):
1 Ru 0.0000 0.0000 0.5000  0.40
2 Ru 0.5000 0.0000 0.0000  0.45
3 Ru 0.0000 0.5000 0.0000  0.56
4 S 0.5000 0.5000 0.5000  -0.05
5 Na 0.0000 0.0000 0.0000  0.00



Version ii
# NaRu3S

A relaxed structure of NaRu3S (PBE, Alexandria via LeMat-Bulk).

Calculated values
Space-group type: Pm-3m (221)

Lattice parameters (Å, degrees): 4.3833 4.3833 4.3833 90.00 90.00 90.00
Each line ends with the local moment (μB).
Atoms (fractional coordinates):
1 S 0.0000 0.0000 0.0000  -0.01
2 Ru 0.0000 0.0000 0.5000  0.25
3 Ru 0.0000 0.5000 0.0000  0.32
4 Ru 0.5000 0.0000 0.0000  0.31
5 Na 0.5000 0.5000 0.5000  0.00



version ii comes first in stability; the runner-up is 2131 meV per atom higher.